one) First-principles (PBE) data for an optimized crystal structure of TaIn3Pd, as listed in Alexandria via LeMat-Bulk.

abc: 5.351 5.351 5.351
angles: 90.00 90.00 90.00
Positions (direct):
1 In 0.000 0.500 0.000
2 In 0.500 0.000 0.000
3 In 0.000 0.000 0.500
4 Ta 0.000 0.000 0.000
5 Pd 0.500 0.500 0.500

**Total magnetization**: 0.0 μB per cell

***

two) First-principles (PBE) data for an optimized crystal structure of TaIn3Pd, as listed in Alexandria via LeMat-Bulk.

abc: 5.028 5.028 5.028
angles: 90.00 90.00 90.00
Each line ends with the local moment (μB).
Positions (direct):
1 Pd 0.000 0.000 0.000  -0.01
2 Ta 0.500 0.500 0.500  1.03
3 In 0.500 0.000 0.000  0.00
4 In 0.000 0.500 0.000  -0.02
5 In 0.000 0.000 0.500  -0.03

**Total magnetization**: 1.4 μB per cell

***

Stability comparison, relative energies in meV/atom: one) 182; two) 0

***

one) First-principles (PBE) data for an optimized crystal structure of TaIn2Pd, as listed in Alexandria via LeMat-Bulk.

abc: 7.552 7.552 6.081
angles: 51.62 51.62 90.00
Positions (direct):
1 Pd 0.250 0.750 0.500
2 Pd 0.500 0.500 0.000
3 Ta 0.750 0.250 0.500
4 Ta 0.000 0.000 0.000
5 In 0.875 0.851 0.750
6 In 0.601 0.125 0.250
7 In 0.149 0.625 0.250
8 In 0.375 0.399 0.750

**Total magnetization**: 0.0 μB per cell

***

two) First-principles (PBE) data for an optimized crystal structure of TaIn2Pd, as listed in Alexandria via LeMat-Bulk.

abc: 4.772 4.772 4.772
angles: 60.00 60.00 60.00
Each line ends with the local moment (μB).
Positions (direct):
1 Pd 0.000 0.000 0.000  0.00
2 In 0.250 0.250 0.250  0.02
3 In 0.750 0.750 0.750  0.02
4 Ta 0.500 0.500 0.500  0.73

**Total magnetization**: 1.1 μB per cell

***

Stability comparison, relative energies in meV/atom: one) 156; two) 0